DFT (PBE+U) results for a geometry-optimized RbVBi2O6 structure.

volume	21.8	Å³ per atom
E	-6.165	eV per atom
crystal system	monoclinic

Cell lengths 8.4295, 8.4295, 6.8069 Å; angles 102.98, 102.98, 104.67 degrees
With the nearest neighbours (Å) after each atom.
Fractional positions:
Rb  0.1011  0.8989  0.7500  6 O 2.93-2.98
Rb  0.8989  0.1011  0.2500  6 O 2.93-2.98
V  0.1721  0.8279  0.2500  4 O 1.73-1.77
V  0.8279  0.1721  0.7500  4 O 1.73-1.77
Bi  0.2788  0.4585  0.8609  3 O 2.19-2.31
Bi  0.4585  0.2788  0.3609  3 O 2.19-2.31
Bi  0.5415  0.7212  0.6391  3 O 2.19-2.31
Bi  0.7212  0.5415  0.1391  3 O 2.19-2.31
O  0.0361  0.2188  0.7193  1 V 1.77
O  0.1762  0.6876  0.0248  1 V 1.73
O  0.2188  0.0361  0.2193  1 V 1.77
O  0.3124  0.8238  0.4752  1 V 1.73
O  0.3386  0.4294  0.5508  2 Bi 2.19-2.25
O  0.4294  0.3386  0.0508  2 Bi 2.19-2.25
O  0.5706  0.6614  0.9492  2 Bi 2.19-2.25
O  0.6614  0.5706  0.4492  2 Bi 2.19-2.25
O  0.6876  0.1762  0.5248  1 V 1.73
O  0.7812  0.9639  0.7807  1 V 1.77
O  0.8238  0.3124  0.9752  1 V 1.73
O  0.9639  0.7812  0.2807  1 V 1.77